Entry from Alexandria via LeMat-Bulk: a relaxed structure of K3Np2Te6Pd (GGA-PBE).

POSCAR file:
```
K3Np2Te6Pd
1.0
3.939 -6.456 0.000
3.939 6.456 0.000
-2.798 0.000 8.244
K Np Te Pd
3 2 6 1
direct
0.000 0.000 0.000
0.328 0.672 0.000
0.672 0.328 0.000
0.166 0.834 0.500
0.834 0.166 0.500
0.129 0.433 0.310
0.223 0.223 0.724
0.433 0.129 0.310
0.567 0.871 0.690
0.777 0.777 0.276
0.871 0.567 0.690
0.500 0.500 0.500
```

Symmetry ... C2/m, No. 12
Formation energy from raw total energies ... -0.73 eV/atom
Energy ... -5.168 eV/atom
V ... 419.3 Å³ per cell

Entry from Alexandria via LeMat-Bulk: a relaxed structure of TbPm6Mg (GGA-PBE).

POSCAR file:
```
TbPm6Mg
1.0
6.460 0.000 0.000
-0.735 6.419 0.000
-0.742 -0.816 6.366
Tb Pm Mg
1 6 1
direct
0.000 0.000 0.000
0.030 0.554 0.261
0.261 0.030 0.554
0.446 0.739 0.970
0.554 0.261 0.030
0.739 0.970 0.446
0.970 0.446 0.739
0.500 0.500 0.500
```

Symmetry ... P-1, No. 2
Energy ... -4.241 eV/atom
Formation energy from the elements ... 100 meV/atom
V ... 264.0 Å³ per cell

Entry from Alexandria via LeMat-Bulk: a relaxed structure of RbLiPt4 (GGA-PBE).

POSCAR file:
```
RbLiPt4
1.0
0.000 3.864 3.864
3.864 0.000 3.864
3.864 3.864 0.000
Rb Li Pt
1 1 4
direct
0.000 0.000 0.000
0.750 0.750 0.750
0.375 0.375 0.375
0.375 0.375 0.874
0.375 0.874 0.375
0.874 0.375 0.375
```

Symmetry ... F-43m, No. 216
Energy ... -4.659 eV/atom
Formation energy from the elements ... -152 meV/atom
V ... 115.3 Å³ per cell

Please write out number 3 again, unchanged.
Entry from Alexandria via LeMat-Bulk: a relaxed structure of RbLiPt4 (GGA-PBE).

POSCAR file:
```
RbLiPt4
1.0
0.000 3.864 3.864
3.864 0.000 3.864
3.864 3.864 0.000
Rb Li Pt
1 1 4
direct
0.000 0.000 0.000
0.750 0.750 0.750
0.375 0.375 0.375
0.375 0.375 0.874
0.375 0.874 0.375
0.874 0.375 0.375
```

Symmetry ... F-43m, No. 216
Energy ... -4.659 eV/atom
Formation energy from the elements ... -152 meV/atom
V ... 115.3 Å³ per cell